# InAsW, optimized geometry, DFT PBE
data_InAsW
_space_group_name_H-M_alt 'F m m 2'
_space_group_IT_number 42
_space_group_name_Hall 'F 2 -2'
_cell_length_a 3.316
_cell_length_b 4.849
_cell_length_c 16.072
_cell_angle_alpha 90.00
_cell_angle_beta 90.00
_cell_angle_gamma 90.00
loop_
_atom_site_label
_atom_site_fract_x
_atom_site_fract_y
_atom_site_fract_z
_atom_site_occupancy
In1 0.000 0.000 0.000 1
As1 0.000 0.000 0.724 1
W1 0.000 0.000 0.343 1
# ΔE to the lowest computed polymorph   222 meV per atom
# Mass density   9.601 g cm⁻³
# Size of the total moment   0.0 μB per formula unit
# V   258.5 Å³ per cell
# Crystal system   orthorhombic